Density functional theory data (PBEsol) for crystalline Zr5Zn at its relaxed geometry.

Its crystal system is hexagonal. For the formation enthalpy at 0 K, the calculation gives -0.02 eV/atom. As for the energy above the lowest structure with this stoichiometry: 42 meV/atom.

The structure belongs to space group P-62m (No. 189); the cell edges are 5.3384, 5.3384 and 5.0556 Å and the angles 90.00°, 90.00° and 120.00°. The asymmetric unit holds Zr at (0.0000, 0.3184, 0.0000), Zr at (0.3333, 0.6667, 0.5000) and Zn at (0.0000, 0.0000, 0.5000).

***

Density functional theory data (PBEsol) for crystalline TeRu2 at its relaxed geometry.

Its crystal system is tetragonal. As for the energy above the lowest structure with this stoichiometry: 371 meV/atom. Its uncorrected formation energy is 0.712 eV/atom.

The structure belongs to space group I4_1/amd (No. 141, origin choice 2); the cell edges are 3.714, 3.714 and 15.635 Å and the angles 90.00°, 90.00° and 90.00°. The asymmetric unit holds Te at (0.000, 0.250, 0.375) and Ru at (0.000, 0.250, 0.797).

***

Density functional theory data (PBEsol) for crystalline CsSr3Os at its relaxed geometry.

Its crystal system is cubic. For the formation enthalpy at 0 K, the calculation gives 2.08 eV/atom.

The structure belongs to space group Pm-3m (No. 221); the cell edges are 5.817, 5.817 and 5.817 Å and the angles 90.00°, 90.00° and 90.00°. The asymmetric unit holds Cs at (0.000, 0.000, 0.000), Sr at (0.000, 0.000, 0.500) and Os at (0.500, 0.500, 0.500).

***

Density functional theory data (PBEsol) for crystalline Hg3GeRu at its relaxed geometry.

Its crystal system is cubic. For the formation enthalpy at 0 K, the calculation gives 0.90 eV/atom.

The structure belongs to space group Pm-3m (No. 221); the cell edges are 5.093, 5.093 and 5.093 Å and the angles 90.00°, 90.00° and 90.00°. The asymmetric unit holds Hg at (0.000, 0.000, 0.500), Ge at (0.500, 0.500, 0.500) and Ru at (0.000, 0.000, 0.000).

***

Density functional theory data (PBEsol) for crystalline Be2InIr at its relaxed geometry.

Its crystal system is tetragonal. For the formation enthalpy at 0 K, the calculation gives -0.02 eV/atom.

The structure belongs to space group P4/mmm (No. 123); the cell edges are 4.028, 4.028 and 3.078 Å and the angles 90.00°, 90.00° and 90.00°. The asymmetric unit holds Be at (0.000, 0.500, 0.000), In at (0.000, 0.000, 0.500) and Ir at (0.500, 0.500, 0.500).

***

Density functional theory data (PBEsol) for crystalline ScBeNi at its relaxed geometry.

Its crystal system is hexagonal. For the formation enthalpy at 0 K, the calculation gives -0.29 eV/atom. As for the energy above the lowest structure with this stoichiometry: 0 meV/atom.

The structure belongs to space group P-6m2 (No. 187); the cell edges are 3.7954, 3.7954 and 3.2864 Å and the angles 90.00°, 90.00° and 120.00°. The asymmetric unit holds Sc at (0.0000, 0.0000, 0.0000), Be at (0.6667, 0.3333, 0.5000) and Ni at (0.3333, 0.6667, 0.5000).

***

Density functional theory data (PBEsol) for crystalline Mn3IrO at its relaxed geometry.

Its crystal system is cubic. Its uncorrected formation energy is 1.516 eV/atom.

The structure belongs to space group Pm-3m (No. 221); the cell edges are 4.696, 4.696 and 4.696 Å and the angles 90.00°, 90.00° and 90.00°. The asymmetric unit holds Mn at (0.000, 0.000, 0.500), Ir at (0.000, 0.000, 0.000) and O at (0.500, 0.500, 0.500).

***

Density functional theory data (PBEsol) for crystalline K2BeCo at its relaxed geometry.

Its crystal system is tetragonal. For the formation enthalpy at 0 K, the calculation gives 0.61 eV/atom.

The structure belongs to space group P4mm (No. 99); the cell edges are 3.110, 3.110 and 9.637 Å and the angles 90.00°, 90.00° and 90.00°. The asymmetric unit holds K at (0.000, 0.000, 0.000), K at (0.500, 0.500, 0.435), Be at (0.000, 0.000, 0.703) and Co at (0.500, 0.500, 0.730).